(1)
A PBEsol-optimized structure of ZrZnSeBr2. Source: the Alexandria database, functional SCAN.

Values from the calculation:
The calculation puts the total energy at -21.38 eV per atom. The space group is P4/mmm, No. 123. The calculation puts the formation energy without anion corrections at -0.734 eV per atom. Its magnetic moment is 0.0 μB/f.u. The distance to the lowest polymorph of the same formula is 0 meV/atom.

Cell and atoms, written as POSCAR:
```
ZrZnSeBr2
1.0
5.112 0.000 0.000
0.000 5.296 0.000
0.000 0.000 5.296
Zn Se Br Zr
1 1 2 1
Cartesian
2.556 2.648 2.648 Zn
2.556 0.000 0.000 Se
0.000 0.000 2.648 Br
0.000 2.648 0.000 Br
0.000 0.000 0.000 Zr
```

---

(2)
A PBEsol-optimized structure of ZrZnSeBr2. Source: the Alexandria database, functional SCAN.

Values from the calculation:
The calculation puts the total energy at -20.79 eV per atom. The space group is P4/mmm, No. 123. The calculation puts the formation energy without anion corrections at -0.144 eV per atom. Its magnetic moment is 1.9 μB/f.u. The distance to the lowest polymorph of the same formula is 590 meV/atom.

Cell and atoms, written as POSCAR:
```
ZrZnSeBr2
1.0
4.857 0.000 0.000
0.000 4.857 0.000
0.000 0.000 5.001
Zn Se Br Zr
1 1 2 1
Cartesian
0.000 0.000 0.000 Zn
0.000 0.000 2.501 Se
0.000 2.428 0.000 Br
2.428 0.000 0.000 Br
2.428 2.428 2.501 Zr
```

---

(3)
A PBEsol-optimized structure of ZrSeBr2. Source: the Alexandria database, functional SCAN.

Values from the calculation:
The calculation puts the total energy at -23.67 eV per atom. The space group is Amm2, No. 38. The calculation puts the formation energy without anion corrections at -1.246 eV per atom. Its magnetic moment is 0.0 μB/f.u. The distance to the lowest polymorph of the same formula is 0 meV/atom.

Cell and atoms, written as POSCAR:
```
ZrSeBr2
1.0
3.557 0.000 0.000
0.000 3.929 0.000
0.000 -1.965 7.449
Br Se Zr
2 1 1
Cartesian
0.000 0.000 3.203 Br
1.779 1.965 0.459 Br
0.000 1.965 6.041 Se
1.779 0.000 5.278 Zr
```

---

(4)
A PBEsol-optimized structure of Zr2SeBr. Source: the Alexandria database, functional SCAN.

Values from the calculation:
The calculation puts the total energy at -26.00 eV per atom. The space group is Fm-3m, No. 225. The calculation puts the formation energy without anion corrections at -0.769 eV per atom. Its magnetic moment is 0.0 μB/f.u. The distance to the lowest polymorph of the same formula is 273 meV/atom.

Cell and atoms, written as POSCAR:
```
Zr2SeBr
1.0
-2.591 3.525 1.776
-0.581 0.381 4.670
2.094 3.512 2.360
Br Se Zr
1 1 2
Cartesian
0.000 0.000 0.000 Br
-0.539 3.709 4.403 Se
-0.269 1.855 2.202 Zr
-0.808 5.564 6.605 Zr
```

---

(5)
A PBEsol-optimized structure of ZrSe2Br. Source: the Alexandria database, functional SCAN.

Values from the calculation:
The calculation puts the total energy at -22.70 eV per atom. The space group is P4/mmm, No. 123. The calculation puts the formation energy without anion corrections at -0.125 eV per atom. Its magnetic moment is 0.0 μB/f.u. The distance to the lowest polymorph of the same formula is 102 meV/atom.

Cell and atoms, written as POSCAR:
```
ZrSe2Br
1.0
-1.036 1.215 -2.979
-4.328 -2.186 0.613
-1.707 4.003 2.225
Br Se Zr
1 2 1
Cartesian
-0.518 0.607 -1.489 Br
-0.853 2.001 1.113 Se
-2.164 -1.093 0.307 Se
-3.535 1.516 -0.070 Zr
```

---

(6)
A PBEsol-optimized structure of Zr2SeBr. Source: the Alexandria database, functional SCAN.

Values from the calculation:
The calculation puts the total energy at -26.28 eV per atom. The space group is R3m, No. 160. The calculation puts the formation energy without anion corrections at -1.042 eV per atom. Its magnetic moment is 0.5 μB/f.u. The distance to the lowest polymorph of the same formula is 0 meV/atom.

Cell and atoms, written as POSCAR:
```
Zr2SeBr
1.0
-3.056 1.521 0.849
-3.023 -1.729 -0.495
-1.428 -3.481 8.380
Br Se Zr
1 1 2
Cartesian
-3.729 -1.984 4.702 Br
-1.907 -0.753 1.772 Se
-6.070 -0.257 0.472 Zr
-5.634 -2.750 6.507 Zr
```

---

(7)
A PBEsol-optimized structure of ZrSeBr2. Source: the Alexandria database, functional SCAN.

Values from the calculation:
The calculation puts the total energy at -22.79 eV per atom. The space group is I4/mmm, No. 139. The calculation puts the formation energy without anion corrections at -0.369 eV per atom. Its magnetic moment is 0.0 μB/f.u. The distance to the lowest polymorph of the same formula is 877 meV/atom.

Cell and atoms, written as POSCAR:
```
ZrSeBr2
1.0
-0.256 3.272 3.052
-4.345 -0.912 0.613
3.275 -3.847 1.108
Br Se Zr
2 1 1
Cartesian
0.359 0.303 2.997 Br
-1.685 -1.789 1.777 Br
-2.301 1.180 1.833 Se
0.000 0.000 0.000 Zr
```

---

(8)
A PBEsol-optimized structure of ZrSeBr. Source: the Alexandria database, functional SCAN.

Values from the calculation:
The calculation puts the total energy at -24.47 eV per atom. The space group is F-43m, No. 216. The calculation puts the formation energy without anion corrections at -1.059 eV per atom. Its magnetic moment is 1.0 μB/f.u.

Cell and atoms, written as POSCAR:
```
ZrSeBr
1.0
-2.713 3.687 0.817
-3.191 1.278 -3.131
-4.520 -0.596 0.912
Br Se Zr
1 1 1
Cartesian
0.000 0.000 0.000 Br
-5.212 2.184 -0.701 Se
-2.606 1.092 -0.350 Zr
```